# Na2Mg2Fe2Se3S3O24, relaxed, DFT PBE with a Hubbard U
# magnetic moment = 10.18 μB/cell
# E = -209.71 eV per cell
data_Na2Mg2Fe2Se3S3O24
_chemical_formula_sum 'Na2 Mg2 Fe2 Se3 S3 O24'
_cell_length_a 9.109
_cell_length_b 9.109
_cell_length_c 9.109
_cell_angle_alpha 57.41
_cell_angle_beta 57.41
_cell_angle_gamma 57.41
_space_group_name_H-M_alt 'P 1'
_space_group_IT_number 1
_space_group_name_Hall 'P 1'
loop_
_atom_site_label
_atom_site_type_symbol
_atom_site_fract_x
_atom_site_fract_y
_atom_site_fract_z
_atom_site_occupancy
Na1 Na 0.000 0.000 0.000 1
Na2 Na 0.495 0.495 0.495 1
Mg1 Mg 0.347 0.347 0.347 1
Mg2 Mg 0.639 0.639 0.639 1
Fe1 Fe 0.148 0.148 0.148 1
Fe2 Fe 0.855 0.855 0.855 1
Se1 Se 0.038 0.748 0.457 1
Se2 Se 0.457 0.038 0.748 1
Se3 Se 0.748 0.457 0.038 1
S1 S 0.244 0.541 0.956 1
S2 S 0.541 0.956 0.244 1
S3 S 0.956 0.244 0.541 1
O1 O 0.008 0.806 0.620 1
O2 O 0.088 0.725 0.926 1
O3 O 0.111 0.281 0.508 1
O4 O 0.111 0.903 0.247 1
O5 O 0.186 0.393 0.998 1
O6 O 0.210 0.544 0.474 1
O7 O 0.247 0.111 0.903 1
O8 O 0.281 0.508 0.111 1
O9 O 0.393 0.998 0.186 1
O10 O 0.408 0.549 0.782 1
O11 O 0.469 0.849 0.752 1
O12 O 0.474 0.210 0.544 1
O13 O 0.508 0.111 0.281 1
O14 O 0.544 0.474 0.210 1
O15 O 0.549 0.782 0.408 1
O16 O 0.620 0.008 0.806 1
O17 O 0.725 0.926 0.088 1
O18 O 0.752 0.469 0.849 1
O19 O 0.782 0.408 0.549 1
O20 O 0.806 0.620 0.008 1
O21 O 0.849 0.752 0.469 1
O22 O 0.903 0.247 0.111 1
O23 O 0.926 0.088 0.725 1
O24 O 0.998 0.186 0.393 1